Entry from Alexandria via LeMat-Bulk: Al2TlCd2 after structural relaxation (PBE).

abc: 7.3137 7.3137 7.3137
angles: 146.62 146.62 47.92
Element x y z (fractional)
Al  0.2500  0.7500  0.5000
Al  0.7500  0.2500  0.5000
Tl  0.0000  0.0000  0.0000
Cd  0.3929  0.3929  0.0000
Cd  0.6071  0.6071  0.0000

- Energy relative to the elements: 165 meV/atom

Entry from Alexandria via LeMat-Bulk: Th3Ti2Sb4 after structural relaxation (PBE).

abc: 7.6473 7.6473 9.4948
angles: 122.13 122.13 32.17
Element x y z (fractional)
Th  0.0000  0.0000  0.0000
Th  0.3678  0.3678  0.2894
Th  0.6322  0.6322  0.7106
Ti  0.3089  0.3089  0.6225
Ti  0.6911  0.6911  0.3775
Sb  0.0744  0.0744  0.3982
Sb  0.3202  0.3202  0.9209
Sb  0.6798  0.6798  0.0791
Sb  0.9256  0.9256  0.6018

- Energy relative to the elements, uncorrected: -668 meV/atom

Entry from Alexandria via LeMat-Bulk: ZrReSi2Pt after structural relaxation (PBE).

abc: 4.8864 4.8864 4.9217
angles: 90.00 90.00 90.00
Element x y z (fractional)
Zr  0.0000  0.0000  0.0000
Re  0.5000  0.5000  0.5000
Si  0.0000  0.5000  0.0000
Si  0.5000  0.0000  0.0000
Pt  0.0000  0.0000  0.5000

- Energy relative to the elements, uncorrected: 1712 meV/atom

Entry from Alexandria via LeMat-Bulk: K6CuF12 after structural relaxation (PBE).

abc: 7.2193 7.2193 7.2193
angles: 98.58 98.58 98.58
Element x y z (fractional)
K  0.1582  0.6101  0.2516
K  0.2516  0.1582  0.6101
K  0.3899  0.7484  0.8418
K  0.6101  0.2516  0.1582
K  0.7484  0.8418  0.3899
K  0.8418  0.3899  0.7484
Cu  0.0000  0.0000  0.0000
F  0.0208  0.7374  0.9362
F  0.0638  0.9792  0.2626
F  0.1357  0.4850  0.5728
F  0.2626  0.0638  0.9792
F  0.4272  0.8643  0.5150
F  0.4850  0.5728  0.1357
F  0.5150  0.4272  0.8643
F  0.5728  0.1357  0.4850
F  0.7374  0.9362  0.0208
F  0.8643  0.5150  0.4272
F  0.9362  0.0208  0.7374
F  0.9792  0.2626  0.0638

- Energy relative to the elements, uncorrected: -2084 meV/atom

Entry from Alexandria via LeMat-Bulk: Mg2TaCo after structural relaxation (PBE).

abc: 4.5294 4.5294 4.5294
angles: 60.00 60.00 60.00
Element x y z (fractional)
Mg  0.2500  0.2500  0.2500
Mg  0.7500  0.7500  0.7500
Ta  0.0000  0.0000  0.0000
Co  0.5000  0.5000  0.5000

- Energy relative to the elements: 645 meV/atom

Entry from Alexandria via LeMat-Bulk: Co2AuSe after structural relaxation (PBE).

abc: 3.6244 3.6244 5.6606
angles: 108.59 108.59 59.94
Element x y z (fractional)
Co  0.2267  0.2267  0.1806
Co  0.7733  0.7733  0.8194
Au  0.0000  0.0000  0.5000
Se  0.5000  0.5000  0.0000

- Energy relative to the elements, uncorrected: 222 meV/atom